(1)
## Ca2CdPb2 (PBE)

Data for a geometry-optimized Ca2CdPb2 structure.

```
data_Ca2CdPb2
_chemical_formula_sum 'Ca4 Cd2 Pb4'
_symmetry_space_group_name_H-M 'P 4/m b m'
_symmetry_Int_Tables_number 127
_symmetry_space_group_name_Hall '-P 4 2ab'
_cell_length_a 8.7602
_cell_length_b 8.7602
_cell_length_c 4.1916
_cell_angle_alpha 90.00
_cell_angle_beta 90.00
_cell_angle_gamma 90.00
loop_
_atom_site_label
_atom_site_type_symbol
_atom_site_fract_x
_atom_site_fract_y
_atom_site_fract_z
Ca1 Ca 0.1721 0.3279 0.0000
Cd1 Cd 0.0000 0.0000 0.0000
Pb1 Pb 0.1264 0.6264 0.5000
```

(2)
## Ca4Cd3Pb (PBE)

Data for a geometry-optimized Ca4Cd3Pb structure.

```
data_Ca4Cd3Pb
_chemical_formula_sum 'Ca8 Cd6 Pb2'
_symmetry_space_group_name_H-M 'I 4/m m m'
_symmetry_Int_Tables_number 139
_symmetry_space_group_name_Hall '-I 4 2'
_cell_length_a 5.4573
_cell_length_b 5.4573
_cell_length_c 15.4101
_cell_angle_alpha 90.00
_cell_angle_beta 90.00
_cell_angle_gamma 90.00
loop_
_atom_site_label
_atom_site_type_symbol
_atom_site_fract_x
_atom_site_fract_y
_atom_site_fract_z
Ca1 Ca 0.0000 0.5000 0.1267
Cd1 Cd 0.0000 0.0000 0.0000
Cd2 Cd 0.0000 0.0000 0.2472
Pb1 Pb 0.0000 0.0000 0.5000
```

no.,energy relative to the elements (meV/atom),electronic total energy (eV per atom)
1,-269,-2.74
2,-429,-2.24